NaTb3Tm2Te6, optimized geometry, DFT PBE; E_form (uncorrected) = -1.275 eV/atom; total energy = -4.86 eV/atom
1.0
4.343 0.000 0.000
0.000 8.775 0.286
-2.172 -2.559 9.190
Na Tb Tm Te
1 3 2 6
direct
0.500 0.000 0.000
0.500 0.500 0.000
0.839 0.178 0.678
0.161 0.822 0.322
0.833 0.660 0.666
0.167 0.340 0.334
0.330 0.913 0.660
0.668 0.579 0.335
0.670 0.087 0.340
0.004 0.251 0.008
0.996 0.749 0.992
0.332 0.421 0.665